Material: ThMgTlBi
Method: DFT, PBE-GGA
State: optimized geometry

Geometry as extended XYZ:
```
4
Lattice="0.0000 3.8519 3.8519 3.8519 0.0000 3.8519 3.8519 3.8519 0.0000" Properties=species:S:1:pos:R:3 pbc="T T T"
Th 0.0000 0.0000 0.0000
Mg 3.8519 3.8519 3.8519
Tl 1.9259 1.9259 1.9259
Bi 5.7778 5.7778 5.7778
```

Properties
Distance to the lowest polymorph of the same formula (meV per atom): 169
Space group: F-43m



Material: ThMgTlBi
Method: DFT, PBE-GGA
State: optimized geometry

Geometry as extended XYZ:
```
4
Lattice="4.4597 0.0000 0.0000 0.0000 4.9446 0.0000 0.0000 0.0000 5.1001" Properties=species:S:1:pos:R:3 pbc="T T T"
Th 0.0000 0.0000 0.0000
Mg 0.0000 2.4723 2.5500
Tl 2.2298 0.0000 2.5500
Bi 2.2298 2.4723 0.0000
```

Properties
Distance to the lowest polymorph of the same formula (meV per atom): 0
Space group: Pmmm



Material: MgTi2Bi2
Method: DFT, PBE-GGA
State: optimized geometry

Geometry as extended XYZ:
```
10
Lattice="7.8050 0.0000 0.0000 0.0000 7.8050 0.0000 0.0000 0.0000 3.7576" Properties=species:S:1:pos:R:3 pbc="T T T"
Mg 0.0000 0.0000 0.0000
Mg 3.9025 3.9025 0.0000
Ti 0.9872 2.9153 0.0000
Ti 2.9153 6.8178 0.0000
Ti 4.8897 0.9872 0.0000
Ti 6.8178 4.8897 0.0000
Bi 1.2955 5.1980 1.8788
Bi 2.6070 1.2955 1.8788
Bi 5.1980 6.5095 1.8788
Bi 6.5095 2.6070 1.8788
```

Properties
Distance to the lowest polymorph of the same formula (meV per atom): 0
Space group: P4/mbm



Material: MgTiBi
Method: DFT, PBE-GGA
State: optimized geometry

Geometry as extended XYZ:
```
6
Lattice="4.3038 0.0000 0.0000 0.0000 4.3038 0.0000 0.0000 0.0000 7.3063" Properties=species:S:1:pos:R:3 pbc="T T T"
Mg 1.0759 1.0759 1.4596
Mg 3.2278 3.2278 5.8467
Ti 1.0759 3.2278 3.6532
Ti 3.2278 1.0759 3.6532
Bi 1.0759 1.0759 5.7405
Bi 3.2278 3.2278 1.5658
```

Properties
Distance to the lowest polymorph of the same formula (meV per atom): 0
Space group: P4/nmm



Material: Mg2TiBi
Method: DFT, PBE-GGA
State: optimized geometry

Geometry as extended XYZ:
```
8
Lattice="-4.1549 4.1549 2.8544 4.1549 -4.1549 2.8544 4.1549 4.1549 -2.8544" Properties=species:S:1:pos:R:3 pbc="T T T"
Mg 6.2323 2.0447 -0.7136
Mg 2.0447 2.0774 0.7136
Mg -2.0774 2.1102 2.1408
Mg 2.1102 2.0774 3.5680
Ti 4.1549 0.0000 1.4272
Ti 0.0000 0.0000 2.8544
Bi 0.0000 0.0000 0.0000
Bi 0.0000 4.1549 1.4272
```

Properties
Space group: I-42d



Material: MgTi3Bi
Method: DFT, PBE-GGA
State: optimized geometry

Geometry as extended XYZ:
```
5
Lattice="4.8135 0.0000 0.0000 0.0000 4.8135 0.0000 0.0000 0.0000 4.8135" Properties=species:S:1:pos:R:3 pbc="T T T"
Mg 0.0000 0.0000 0.0000
Ti 0.0000 0.0000 2.4067
Ti 0.0000 2.4067 0.0000
Ti 2.4067 0.0000 0.0000
Bi 2.4067 2.4067 2.4067
```

Properties
Distance to the lowest polymorph of the same formula (meV per atom): 0
Space group: Pm-3m



Material: MgTi2Bi2
Method: DFT, PBE-GGA
State: optimized geometry

Geometry as extended XYZ:
```
10
Lattice="7.9202 0.0000 0.0000 0.0000 7.9202 0.0000 0.0000 0.0000 3.6683" Properties=species:S:1:pos:R:3 pbc="T T T"
Mg 0.0000 0.0000 0.0000
Mg 3.9601 3.9601 0.0000
Ti 1.0193 2.9407 1.8342
Ti 2.9407 6.9008 1.8342
Ti 4.9794 1.0193 1.8342
Ti 6.9008 4.9794 1.8342
Bi 1.2577 5.2177 0.0000
Bi 2.7024 1.2577 0.0000
Bi 5.2177 6.6625 0.0000
Bi 6.6625 2.7024 0.0000
```

Properties
Distance to the lowest polymorph of the same formula (meV per atom): 14
Space group: P4/mbm



Material: Mg2TiBi
Method: DFT, PBE-GGA
State: optimized geometry

Geometry as extended XYZ:
```
4
Lattice="1.6153 0.9326 11.2616 -1.6153 0.9326 11.2616 0.0000 -1.8652 11.2616" Properties=species:S:1:pos:R:3 pbc="T T T"
Mg 0.0000 0.0000 2.8367
Mg 0.0000 0.0000 30.9482
Ti 0.0000 0.0000 0.0000
Bi 0.0000 0.0000 16.8925
```

Properties
Space group: R-3m



Number 1: energy of formation -0.11 eV per atom, total moment 0.00 Bohr magnetons per cell, DOS(E_F) 4.66 states/eV/f.u.. Number 2: energy of formation -0.27 eV per atom, total moment 0.00 Bohr magnetons per cell, DOS(E_F) 2.06 states/eV/f.u.. Number 3: energy of formation -0.02 eV per atom, total moment 0.00 Bohr magnetons per cell, DOS(E_F) 2.90 states/eV/f.u.. Number 4: energy of formation -0.23 eV per atom, total moment 0.01 Bohr magnetons per cell, DOS(E_F) 2.46 states/eV/f.u.. Number 5: energy of formation 0.32 eV per atom, total moment 2.01 Bohr magnetons per cell, DOS(E_F) 1.75 states/eV/f.u.. Number 6: energy of formation 0.96 eV per atom, total moment 1.07 Bohr magnetons per cell, DOS(E_F) 5.63 states/eV/f.u.. Number 7: energy of formation -0.01 eV per atom, total moment 0.00 Bohr magnetons per cell, DOS(E_F) 1.73 states/eV/f.u.. Number 8: energy of formation 0.43 eV per atom, total moment 1.87 Bohr magnetons per cell, DOS(E_F) 3.21 states/eV/f.u..